A relaxed structure of PmGa6Cu2, computed with PBE-GGA.

Geometry as POSCAR:
```
PmGa6Cu2
1.0
8.249 0.000 0.000
4.125 7.144 0.000
4.125 2.381 6.736
Cu Ga Pm
4 12 2
Direct
0.125 0.125 0.125
0.625 0.125 0.125
0.125 0.125 0.625
0.125 0.625 0.125
0.490 0.490 0.010
0.760 0.240 0.240
0.760 0.240 0.760
0.490 0.010 0.490
0.240 0.760 0.240
0.010 0.010 0.490
0.490 0.010 0.010
0.010 0.490 0.010
0.760 0.760 0.240
0.010 0.490 0.490
0.240 0.760 0.760
0.240 0.240 0.760
0.750 0.750 0.750
0.500 0.500 0.500
```

Computed properties:
The density comes out at 5.776 g cm⁻³. For the uncorrected energy, the calculation gives -3.38 eV/atom. The formation energy is 79.4 meV per atom. The symmetry is Fd-3m.